# 1
5
Lattice="6.268 0.000 0.000 0.000 6.268 0.000 0.000 0.000 6.259" Properties=species:S:1:pos:R:3 comment="BaInSe2Br PBE optimized geometry" vol_a3_per_atom=49.2 e_form_raw_ev_per_atom=-0.425 space_group=P4/mmm e_above_lowest_polymorph_mev_per_atom=645 pbc="T T T"
Ba 0.000 0.000 0.000
In 3.134 3.134 3.129
Se 0.000 3.134 0.000
Se 3.134 0.000 0.000
Br 0.000 0.000 3.129

***

# 2
10
Lattice="8.232 0.000 0.000 4.115 7.138 0.000 4.116 2.375 7.037" Properties=species:S:1:pos:R:3 comment="BaIn2SnBr6 PBE optimized geometry" vol_a3_per_atom=41.3 e_form_raw_ev_per_atom=-1.126 space_group=P1 pbc="T T T"
Ba 0.000 0.000 0.000
In 4.115 2.377 2.708
In 12.345 7.133 6.137
Sn 8.230 4.757 3.419
Br 7.247 7.226 4.918
Br 5.936 4.939 1.496
Br 6.587 2.669 4.919
Br 9.534 6.652 1.494
Br 10.859 4.369 4.918
Br 9.219 2.681 1.492

***

# 3
12
Lattice="7.009 0.000 0.000 0.065 7.266 0.000 0.003 0.005 9.077" Properties=species:S:1:pos:R:3 comment="BaInSn2Br8 PBE optimized geometry" vol_a3_per_atom=38.5 e_form_raw_ev_per_atom=-1.063 space_group=P-1 pbc="T T T"
Ba 0.000 0.000 0.000
In 0.002 0.003 4.538
Sn 3.531 3.630 2.372
Sn 3.546 3.641 6.705
Br 1.697 5.974 2.493
Br 1.703 5.981 6.585
Br 1.894 2.325 4.530
Br 1.991 2.540 0.009
Br 5.086 4.731 9.068
Br 5.183 4.946 4.547
Br 5.374 1.289 2.492
Br 5.380 1.297 6.584

***

# 4
4
Lattice="0.000 4.231 4.231 4.231 0.000 4.231 4.231 4.231 0.000" Properties=species:S:1:pos:R:3 comment="BaSrInBr PBE optimized geometry" vol_a3_per_atom=37.9 e_form_raw_ev_per_atom=-0.751 space_group=F-43m pbc="T T T"
Ba 0.000 0.000 0.000
Sr 4.231 4.231 4.231
In 6.346 6.346 6.346
Br 2.115 2.115 2.115

***

# 5
18
Lattice="7.973 0.000 0.000 -3.986 6.905 0.000 0.000 0.000 13.665" Properties=species:S:1:pos:R:3 comment="BaTbInBr6 PBE optimized geometry" vol_a3_per_atom=41.8 e_form_raw_ev_per_atom=-1.705 space_group=P-31c pbc="T T T"
Ba 0.000 4.603 3.416
Ba 3.986 2.302 10.248
Tb 0.000 4.603 10.248
Tb 3.986 2.302 3.416
In 0.000 0.000 0.000
In 0.000 0.000 6.832
Br -1.193 2.617 8.620
Br -2.317 4.563 11.877
Br 1.193 2.617 11.877
Br -1.124 6.629 8.620
Br 2.863 0.275 1.787
Br 1.670 2.341 5.045
Br 2.317 4.563 8.620
Br 1.124 6.629 11.877
Br 5.110 0.275 5.045
Br 2.794 4.288 1.787
Br 6.303 2.341 1.787
Br 5.179 4.288 5.045

***

# 6
12
Lattice="7.430 0.000 0.000 0.000 9.521 0.000 -0.288 0.000 7.552" Properties=species:S:1:pos:R:3 comment="BaThIn2Br8 PBE optimized geometry" vol_a3_per_atom=44.5 e_form_raw_ev_per_atom=-1.472 space_group=P2/m pbc="T T T"
Ba 0.000 0.000 0.000
Th 0.000 4.761 0.000
In 3.571 2.317 3.776
In 3.571 7.204 3.776
Br 1.468 4.761 2.391
Br 1.405 2.656 6.524
Br 1.405 6.865 6.524
Br 1.921 0.000 2.562
Br 5.221 0.000 4.990
Br 5.738 2.656 1.028
Br 5.738 6.865 1.028
Br 5.675 4.761 5.161

***

# 7
18
Lattice="7.862 0.000 0.000 -3.931 6.809 0.000 0.000 0.000 13.539" Properties=species:S:1:pos:R:3 comment="BaTlInBr6 PBE optimized geometry" vol_a3_per_atom=40.3 e_form_raw_ev_per_atom=-1.267 space_group=P-31c pbc="T T T"
Ba 0.000 4.539 3.385
Ba 3.931 2.270 10.154
Tl 0.000 0.000 0.000
Tl 0.000 0.000 6.770
In 0.000 4.539 10.154
In 3.931 2.270 3.385
Br -1.126 2.634 8.548
Br -2.213 4.517 11.761
Br 1.126 2.634 11.761
Br -1.088 6.467 8.548
Br 2.844 0.342 1.778
Br 1.718 2.292 4.991
Br 2.213 4.517 8.548
Br 1.088 6.467 11.761
Br 5.019 0.342 4.991
Br 2.806 4.175 1.778
Br 6.144 2.292 1.778
Br 5.057 4.175 4.991

***

# 8
18
Lattice="7.923 0.000 0.000 -3.962 6.862 0.000 0.000 0.000 13.619" Properties=species:S:1:pos:R:3 comment="BaTmInBr6 PBE optimized geometry" vol_a3_per_atom=41.1 e_form_raw_ev_per_atom=-1.699 space_group=P-31c pbc="T T T"
Ba 0.000 4.574 3.405
Ba 3.962 2.287 10.214
Tm 0.000 4.574 10.214
Tm 3.962 2.287 3.405
In 0.000 0.000 0.000
In 0.000 0.000 6.809
Br -1.161 2.624 8.603
Br -2.270 4.544 11.825
Br 1.161 2.624 11.825
Br -1.109 6.555 8.603
Br 2.853 0.306 1.794
Br 1.692 2.318 5.016
Br 2.270 4.544 8.603
Br 1.109 6.555 11.825
Br 5.070 0.306 5.016
Br 2.800 4.238 1.794
Br 6.231 2.318 1.794
Br 5.123 4.238 5.016

***

# 9
5
Lattice="6.740 0.000 0.000 0.000 6.740 0.000 0.000 0.000 5.972" Properties=species:S:1:pos:R:3 comment="BaVIn2Br PBE optimized geometry" vol_a3_per_atom=54.3 e_form_raw_ev_per_atom=1.099 space_group=P4/mmm pbc="T T T"
Ba 0.000 0.000 0.000
V 3.370 3.370 2.986
In 0.000 3.370 0.000
In 3.370 0.000 0.000
Br 0.000 0.000 2.986

***

# 10
18
Lattice="7.961 0.000 0.000 -3.981 6.895 0.000 0.000 0.000 13.645" Properties=species:S:1:pos:R:3 comment="BaYInBr6 PBE optimized geometry" vol_a3_per_atom=41.6 e_form_raw_ev_per_atom=-1.705 space_group=P-31c pbc="T T T"
Ba 0.000 4.597 3.411
Ba 3.981 2.298 10.234
Y 0.000 4.597 10.234
Y 3.981 2.298 3.411
In 0.000 0.000 0.000
In 0.000 0.000 6.823
Br -1.188 2.617 8.606
Br -2.308 4.557 11.862
Br 1.188 2.617 11.862
Br -1.120 6.615 8.606
Br 2.861 0.280 1.783
Br 1.673 2.337 5.039
Br 2.308 4.557 8.606
Br 1.120 6.615 11.862
Br 5.101 0.280 5.039
Br 2.793 4.277 1.783
Br 6.289 2.337 1.783
Br 5.168 4.277 5.039

***

# 11
16
Lattice="4.945 -6.490 0.000 4.945 6.490 0.000 -4.432 0.000 10.325" Properties=species:S:1:pos:R:3 comment="BaZnInBr5 PBE optimized geometry" vol_a3_per_atom=41.4 e_form_raw_ev_per_atom=-1.285 space_group=C2/c pbc="T T T"
Ba 0.000 0.000 0.000
Ba -2.216 0.000 5.162
Zn 1.621 2.356 7.744
Zn 3.837 -2.356 2.581
In 3.837 1.901 2.581
In 1.621 -1.901 7.744
Br -0.170 3.773 8.640
Br 3.837 5.032 2.581
Br 0.876 0.905 5.912
Br 3.412 3.773 6.848
Br 3.093 -0.905 0.750
Br 2.366 0.905 9.575
Br 2.046 -3.773 3.477
Br 4.582 -0.905 4.413
Br 1.621 -5.032 7.744
Br 5.628 -3.773 1.685

***

# 12
6
Lattice="4.341 0.000 0.000 -2.089 3.805 0.000 -0.060 -2.489 12.394" Properties=species:S:1:pos:R:3 comment="BaIrBr PBE optimized geometry" vol_a3_per_atom=34.1 e_form_raw_ev_per_atom=-1.012 space_group=P1 e_above_lowest_polymorph_mev_per_atom=0 pbc="T T T"
Ba 0.000 0.000 0.000
Ba -0.001 -0.001 4.957
Ir -0.022 2.581 2.478
Ir 2.261 1.231 2.478
Br 0.028 0.028 10.471
Br 2.177 -1.290 6.879

***

What did the second record say?
10
Lattice="8.232 0.000 0.000 4.115 7.138 0.000 4.116 2.375 7.037" Properties=species:S:1:pos:R:3 comment="BaIn2SnBr6 PBE optimized geometry" vol_a3_per_atom=41.3 e_form_raw_ev_per_atom=-1.126 space_group=P1 pbc="T T T"
Ba 0.000 0.000 0.000
In 4.115 2.377 2.708
In 12.345 7.133 6.137
Sn 8.230 4.757 3.419
Br 7.247 7.226 4.918
Br 5.936 4.939 1.496
Br 6.587 2.669 4.919
Br 9.534 6.652 1.494
Br 10.859 4.369 4.918
Br 9.219 2.681 1.492